Entry 1:
The following is a PBE calculation of Tm2VHg after structural relaxation, from Alexandria.

Properties
SG: P4/mmm, No. 123
Total energy (eV/atom): -4.67
E_form (eV/atom): -0.0818
Excess energy over the best structure of this formula in the dataset (meV/atom): 0

a b c (Å): 3.5871 3.5871 7.3007
angles (deg): 90.00 90.00 90.00
Closest atoms and distances in Å follow each position.
Sites, in units of the cell vectors:
Tm1 0.0000 0.0000 0.7673  4 V 3.05, 4 Hg 3.20, 1 Tm 3.40
Tm2 0.0000 0.0000 0.2327  4 V 3.05, 4 Hg 3.20, 1 Tm 3.40
Hg1 0.5000 0.5000 0.5000  8 Tm 3.20
V1 0.5000 0.5000 0.0000  8 Tm 3.05

=====

Entry 2:
The following is a PBE calculation of Rb2U2CrS6 after structural relaxation, from Alexandria.

Properties
ΔE_f (raw) (meV per atom): -1210
SG: C2/m, No. 12
Total energy (eV/atom): -6.56

a b c (Å): 6.5792 6.5792 8.2707
angles (deg): 97.99 97.99 119.28
Closest atoms and distances in Å follow each position.
Sites, in units of the cell vectors:
Rb1 0.8287 0.1713 0.0000  6 S 3.31-3.42
Rb2 0.1713 0.8287 0.0000  6 S 3.31-3.42
S1 0.0647 0.3707 0.6830  1 Cr 2.49, 2 U 2.72
S2 0.2404 0.2404 0.3180  1 Cr 2.48, 2 U 2.72
S3 0.6293 0.9353 0.3170  1 Cr 2.49, 2 U 2.72
S4 0.9353 0.6293 0.3170  1 Cr 2.49, 2 U 2.72
S5 0.7596 0.7596 0.6820  1 Cr 2.48, 2 U 2.72
S6 0.3707 0.0647 0.6830  1 Cr 2.49, 2 U 2.72
U1 0.6665 0.3335 0.5000  6 S 2.72
U2 0.3335 0.6665 0.5000  6 S 2.72
Cr1 0.0000 0.0000 0.5000  6 S 2.48-2.49

=====

Entry 3:
The following is a PBE calculation of Si2RhNO after structural relaxation, from Alexandria.

Properties
ΔE_f (raw) (meV per atom): -1205
SG: Cm, No. 8
Total energy (eV/atom): -7.50
Excess energy over the best structure of this formula in the dataset (meV/atom): 25

a b c (Å): 5.3402 2.9534 8.5891
angles (deg): 90.00 117.64 90.00
Closest atoms and distances in Å follow each position.
Sites, in units of the cell vectors:
Si1 0.6529 0.5000 0.6108  1 O 1.73, 2 N 1.81
Si2 0.0428 0.0000 0.5098  1 O 1.67, 1 N 1.83
Si3 0.0428 0.5000 0.0098  1 O 1.67, 1 N 1.83
Si4 0.6529 0.0000 0.1108  1 O 1.73, 2 N 1.81
N1 0.6938 0.5000 0.0021  3 Si 1.81-1.83
N2 0.6938 0.0000 0.5021  3 Si 1.81-1.83
O1 0.9736 0.0000 0.2995  2 Si 1.67-1.73
O2 0.9736 0.5000 0.7995  2 Si 1.67-1.73
Rh1 0.3339 0.5000 0.7156  3 Si 2.27, 1 N 2.31, 1 O 2.35
Rh2 0.3339 0.0000 0.2156  3 Si 2.27, 1 N 2.31, 1 O 2.35